Version A
NdYH2: relaxed, PBE.

## Properties
Space group: R-3m
N(E_F): 0.594 states/eV/atom

abc: 3.5656 3.5656 6.1535
angles: 73.16 73.16 60.00
Positions (direct):
Y 0.5000 0.5000 0.5000
H 0.2432 0.2432 0.2703
H 0.7568 0.7568 0.7297
Nd 0.0000 0.0000 0.0000


Version B
NdYH2: relaxed, PBE.

## Properties
Space group: R3m
N(E_F): 0.518 states/eV/atom

abc: 3.5611 3.5611 6.3784
angles: 73.79 73.79 60.00
Positions (direct):
Nd 0.4906 0.4906 0.5282
Y 0.6694 0.6694 0.9918
H 0.0714 0.0714 0.7857
H 0.2686 0.2686 0.1943


Stability summary - winner: version A; margin: 87 meV per atom.


Version A
Nd2ZnH: relaxed, PBE.

## Properties
Space group: P4/mmm
N(E_F): 1.201 states/eV/atom

abc: 3.4046 3.4046 7.3053
angles: 90.00 90.00 90.00
Positions (direct):
H 0.5000 0.5000 0.0000
Zn 0.5000 0.5000 0.5000
Nd 0.0000 0.0000 0.7699
Nd 0.0000 0.0000 0.2301


Version B
Nd2ZnH: relaxed, PBE.

## Properties
Space group: R3m
N(E_F): 0.695 states/eV/atom

abc: 3.7553 3.7553 7.6875
angles: 75.86 75.86 60.00
Positions (direct):
Nd 0.0650 0.0650 0.8050
Nd 0.2691 0.2691 0.1927
Zn 0.4993 0.4993 0.5020
H 0.6666 0.6666 0.0003


Version C
Nd2ZnH: relaxed, PBE.

## Properties
Space group: R-3m
N(E_F): 0.804 states/eV/atom

abc: 3.4491 3.4491 9.5758
angles: 79.62 79.62 60.00
Positions (direct):
H 0.5000 0.5000 0.5000
Zn 0.0000 0.0000 0.0000
Nd 0.1114 0.1114 0.6657
Nd 0.8886 0.8886 0.3343


Stability summary - winner: version B; margin: 133 meV per atom.


Version A
NdZnH: relaxed, PBE.

## Properties
Space group: P2_1/c
N(E_F): 0.738 states/eV/atom

abc: 4.3195 7.5610 7.0360
angles: 90.00 90.00 106.54
Positions (direct):
H 0.7955 0.5904 0.1281
H 0.2955 0.5904 0.3719
H 0.7045 0.4096 0.6281
H 0.2045 0.4096 0.8719
Zn 0.9794 0.9588 0.8315
Zn 0.4794 0.9588 0.6685
Zn 0.5206 0.0412 0.3315
Zn 0.0206 0.0412 0.1685
Nd 0.8520 0.7036 0.4649
Nd 0.3520 0.7036 0.0351
Nd 0.6480 0.2964 0.9649
Nd 0.1480 0.2964 0.5351


Version B
NdZnH: relaxed, PBE.

## Properties
Space group: I4mm
N(E_F): 0.630 states/eV/atom

abc: 3.5177 3.5177 5.4077
angles: 108.98 108.98 90.00
Positions (direct):
H 0.0980 0.0980 0.1959
Zn 0.2966 0.2966 0.5931
Nd 0.6055 0.6055 0.2109


Stability summary - winner: version A; margin: 340 meV per atom.